## Co2PF2 (GGA+U)

Data for a relaxed structure of Co2PF2.

Calculated values
The value obtained for the calculated total energy is -4.6187 eV per atom. For the calculated volume, the calculation gives 12.699 Å³/atom. For the energy above the most stable polymorph in this dataset, the calculation gives 0.000 eV per atom.

a = 3.3648 Å, b = 3.3648 Å, c = 11.2165 Å
α = 90.00°, β = 90.00°, γ = 90.00°
Space group I4/mmm (No. 139)
Symmetry-distinct sites (fractional):
Co (0.0000, 0.0000, 0.1339) x4
P (0.0000, 0.0000, 0.5000) x2
F (0.0000, 0.5000, 0.2500) x4